No. 1
# LaNpRh (PBE, relaxed)
# Formation energy   -0.77 eV per formula unit
data_LaNpRh
_cell_length_a 16.741
_cell_length_b 3.491
_cell_length_c 4.803
_cell_angle_alpha 90.00
_cell_angle_beta 102.09
_cell_angle_gamma 90.00
_symmetry_space_group_name_H-M 'C 1 2/m 1'
_symmetry_Int_Tables_number 12
loop_
_symmetry_equiv_pos_as_xyz
'x,y,z'
'-x,-y,-z'
'-x,y,-z'
'x,-y,z'
'x+1/2,y+1/2,z'
'-x+1/2,-y+1/2,-z'
'-x+1/2,y+1/2,-z'
'x+1/2,-y+1/2,z'
loop_
_atom_site_label
_atom_site_type_symbol
_atom_site_fract_x
_atom_site_fract_y
_atom_site_fract_z
La1 La 0.067 0.000 0.291
Np1 Np 0.240 0.500 0.320
Rh1 Rh 0.135 0.500 0.835

No. 2
# La2NpSb3Rh4 (PBE, relaxed)
# Formation energy without anion corrections   -0.7751 eV/atom
data_La2NpSb3Rh4
_cell_length_a 4.494
_cell_length_b 4.494
_cell_length_c 11.171
_cell_angle_alpha 90.00
_cell_angle_beta 90.00
_cell_angle_gamma 90.00
_symmetry_space_group_name_H-M 'P -4 m 2'
_symmetry_Int_Tables_number 115
loop_
_symmetry_equiv_pos_as_xyz
'x,y,z'
'y,-x,-z'
'-x,-y,z'
'-y,x,-z'
'-x,y,z'
'-y,-x,-z'
'x,-y,z'
'y,x,-z'
loop_
_atom_site_label
_atom_site_type_symbol
_atom_site_fract_x
_atom_site_fract_y
_atom_site_fract_z
La1 La 0.000 0.500 0.232
Np1 Np 0.000 0.000 0.500
Sb1 Sb 0.000 0.500 0.872
Sb2 Sb 0.500 0.500 0.500
Rh1 Rh 0.000 0.000 0.000
Rh2 Rh 0.000 0.500 0.639
Rh3 Rh 0.500 0.500 0.000

No. 3
# La2NpSi3Rh12 (PBE, relaxed)
# Formation energy without anion corrections   -0.2569 eV/atom
data_La2NpSi3Rh12
_cell_length_a 7.9805
_cell_length_b 7.9805
_cell_length_c 18.5370
_cell_angle_alpha 90.00
_cell_angle_beta 90.00
_cell_angle_gamma 120.00
_symmetry_space_group_name_H-M 'R -3 m'
_symmetry_Int_Tables_number 166
_symmetry_space_group_name_Hall '-R 3 2"'
loop_
_atom_site_label
_atom_site_type_symbol
_atom_site_fract_x
_atom_site_fract_y
_atom_site_fract_z
La1 La 0.0000 0.0000 0.1036
Np1 Np 0.0000 0.0000 0.5000
Si1 Si 0.0000 0.5000 0.0000
Rh1 Rh 0.0117 0.5059 0.8718
Rh2 Rh 0.0240 0.5120 0.3710

No. 4
# LaNpRu3 (PBE, relaxed)
# Formation energy   0.27 eV per formula unit
data_LaNpRu3
_cell_length_a 5.584
_cell_length_b 9.275
_cell_length_c 8.316
_cell_angle_alpha 90.00
_cell_angle_beta 90.00
_cell_angle_gamma 90.00
_symmetry_space_group_name_H-M 'I m m a'
_symmetry_Int_Tables_number 74
_symmetry_space_group_name_Hall '-I 2b 2'
loop_
_atom_site_label
_atom_site_type_symbol
_atom_site_fract_x
_atom_site_fract_y
_atom_site_fract_z
La1 La 0.000 0.250 0.050
Np1 Np 0.000 0.000 0.500
Ru1 Ru 0.000 0.250 0.695
Ru2 Ru 0.250 0.009 0.750

no.,D(E_F) (states/eV/cell)
1,19.72
2,12.28
3,30.96
4,29.80